DyAl2In: relaxed, PBE.

abc: 4.582 4.582 5.685
angles: 66.23 66.23 60.00
Positions (direct):
Al1 0.721 0.721 0.837
Al2 0.279 0.279 0.163
In1 0.000 0.000 0.000
Dy1 0.500 0.500 0.500

Results
**Calculated formation energy**: -0.465 eV per formula unit
**Fermi-level density of states**: 2.13 states/eV/cell